# Li2ZrNiF

A geometry-optimized Li2ZrNiF structure (PBE with a Hubbard U, Alexandria via LeMat-Bulk).

Cell lengths 5.4173, 5.4173, 4.0355 Å; angles 90.00, 90.00, 90.00 degrees
With the nearest neighbours (Å) after each atom.
Space group P4/mmm (No. 123)
Unique sites:
Li1 0.0000 0.5000 0.0000 [2 per cell]  2 Zr 2.71
Zr1 0.0000 0.0000 0.0000 [1 per cell]  2 F 2.02
Ni1 0.5000 0.5000 0.5000 [1 per cell]  8 Li 3.38
F1 0.0000 0.0000 0.5000 [1 per cell]  2 Zr 2.02

The calculation puts the volume at 23.687 Å³/atom. Its total DFT energy (no corrections) is -2.819 eV/atom. The value obtained for the density of states at the Fermi level is 8.4 states/eV per cell.